i) Density functional theory data (GGA-PBE) for an optimized crystal structure of Tb4Ho5.

a = 3.600 Å, b = 9.032 Å, c = 9.032 Å
α = 92.00°, β = 78.51°, γ = 78.51°
Element x y z (fractional)
Ho 0.000 0.667 0.333
Ho 0.000 0.041 0.959
Ho 0.707 0.960 0.627
Ho 0.000 0.292 0.708
Ho 0.293 0.373 0.040
Tb 0.356 0.621 0.667
Tb 0.644 0.712 0.000
Tb 0.644 0.333 0.379
Tb 0.356 0.000 0.288

Calculated values
- total magnetic moment (μB per formula unit) = 0.00


ii) Density functional theory data (GGA-PBE) for an optimized crystal structure of Tb4Ho5.

a = 4.987 Å, b = 7.906 Å, c = 7.906 Å
α = 84.21°, β = 71.55°, γ = 71.55°
Element x y z (fractional)
Ho 0.666 0.000 0.667
Ho 0.000 0.333 0.667
Ho 0.334 0.333 0.000
Ho 0.000 0.667 0.333
Ho 0.000 0.000 0.000
Tb 0.333 0.667 0.667
Tb 0.333 0.000 0.333
Tb 0.667 0.667 0.000
Tb 0.667 0.333 0.333

Calculated values
- total magnetic moment (μB per formula unit) = 0.00


It is i) that is the least stable of them.


i) Density functional theory data (GGA-PBE) for an optimized crystal structure of Tb3Ho.

a = 3.543 Å, b = 5.012 Å, c = 10.027 Å
α = 90.00°, β = 135.03°, γ = 90.00°
Element x y z (fractional)
Tb 0.001 0.500 0.751
Tb 0.999 0.500 0.249
Tb 0.000 0.000 0.500
Ho 0.000 0.000 0.000

Calculated values
- total magnetic moment (μB per formula unit) = 0.00


ii) Density functional theory data (GGA-PBE) for an optimized crystal structure of Tb3Ho.

a = 5.655 Å, b = 5.655 Å, c = 5.655 Å
α = 60.00°, β = 60.00°, γ = 60.00°
Element x y z (fractional)
Tb 0.250 0.250 0.250
Tb 0.750 0.750 0.750
Tb 0.000 0.000 0.000
Ho 0.500 0.500 0.500

Calculated values
- total magnetic moment (μB per formula unit) = 0.03


It is ii) that is the least stable of them.


i) Density functional theory data (GGA-PBE) for an optimized crystal structure of Tb3Ho.

a = 5.013 Å, b = 5.013 Å, c = 5.013 Å
α = 90.00°, β = 90.00°, γ = 90.00°
Element x y z (fractional)
Tb 0.500 0.500 0.000
Tb 0.500 0.000 0.500
Tb 0.000 0.500 0.500
Ho 0.000 0.000 0.000

Calculated values
- total magnetic moment (μB per formula unit) = 0.00


ii) Density functional theory data (GGA-PBE) for an optimized crystal structure of Tb3Ho.

a = 3.621 Å, b = 6.257 Å, c = 6.707 Å
α = 117.80°, β = 105.66°, γ = 90.00°
Element x y z (fractional)
Ho 0.000 0.001 0.000
Tb 0.749 0.082 0.499
Tb 0.251 0.583 0.501
Tb 0.500 0.500 0.000

Calculated values
- total magnetic moment (μB per formula unit) = 0.00


It is i) that is the least stable of them.


i) Density functional theory data (GGA-PBE) for an optimized crystal structure of Tb3Ho13.

a = 7.047 Å, b = 7.047 Å, c = 9.952 Å
α = 90.00°, β = 90.00°, γ = 90.01°
Element x y z (fractional)
Ho 0.250 0.750 0.500
Ho 0.750 0.750 0.000
Ho 0.250 0.250 0.000
Ho 0.750 0.750 0.500
Ho 0.500 0.500 0.250
Ho 0.250 0.250 0.500
Ho 0.500 0.500 0.750
Ho 0.750 0.250 0.500
Ho 0.000 0.500 0.750
Ho 0.500 0.000 0.750
Ho 0.250 0.750 0.000
Ho 0.500 0.000 0.250
Ho 0.000 0.500 0.250
Tb 0.000 0.000 0.750
Tb 0.750 0.250 0.000
Tb 0.000 0.000 0.250

Calculated values
- total magnetic moment (μB per formula unit) = 0.00


ii) Density functional theory data (GGA-PBE) for an optimized crystal structure of Tb3Ho13.

a = 7.214 Å, b = 8.374 Å, c = 8.374 Å
α = 96.27°, β = 90.00°, γ = 90.00°
Element x y z (fractional)
Ho 0.750 0.459 0.042
Ho 0.750 0.958 0.541
Ho 0.000 0.791 0.209
Ho 0.000 0.209 0.292
Ho 0.500 0.292 0.708
Ho 0.750 0.542 0.458
Ho 0.500 0.791 0.209
Ho 0.500 0.209 0.292
Ho 0.250 0.542 0.458
Ho 0.500 0.708 0.791
Ho 0.250 0.958 0.541
Ho 0.250 0.459 0.042
Ho 0.000 0.708 0.791
Tb 0.000 0.292 0.708
Tb 0.250 0.041 0.959
Tb 0.750 0.041 0.959

Calculated values
- total magnetic moment (μB per formula unit) = 0.00


It is i) that is the least stable of them.


i) Density functional theory data (GGA-PBE) for an optimized crystal structure of Tb2Ho13.

a = 6.954 Å, b = 6.954 Å, c = 12.104 Å
α = 73.30°, β = 73.30°, γ = 60.00°
Element x y z (fractional)
Ho 0.290 0.792 0.126
Ho 0.954 0.954 0.635
Ho 0.208 0.710 0.874
Ho 0.046 0.046 0.365
Ho 0.208 0.208 0.874
Ho 0.046 0.543 0.365
Ho 0.710 0.208 0.874
Ho 0.500 0.500 0.500
Ho 0.457 0.954 0.635
Ho 0.792 0.792 0.126
Ho 0.792 0.290 0.126
Ho 0.543 0.046 0.365
Ho 0.954 0.457 0.635
Tb 0.706 0.706 0.881
Tb 0.294 0.294 0.119

Calculated values
- total magnetic moment (μB per formula unit) = 0.00


ii) Density functional theory data (GGA-PBE) for an optimized crystal structure of Tb2Ho13.

a = 6.550 Å, b = 8.656 Å, c = 8.906 Å
α = 110.85°, β = 83.95°, γ = 99.28°
Element x y z (fractional)
Ho 0.466 0.803 0.934
Ho 0.904 0.425 0.308
Ho 0.534 0.197 0.066
Ho 0.000 0.000 0.000
Ho 0.134 0.804 0.267
Ho 0.334 0.001 0.667
Ho 0.570 0.423 0.641
Ho 0.762 0.576 0.025
Ho 0.238 0.424 0.975
Ho 0.096 0.575 0.692
Ho 0.430 0.577 0.359
Ho 0.866 0.196 0.733
Ho 0.666 0.999 0.333
Tb 0.801 0.804 0.602
Tb 0.199 0.196 0.398

Calculated values
- total magnetic moment (μB per formula unit) = 0.00


It is i) that is the least stable of them.


i) Density functional theory data (GGA-PBE) for an optimized crystal structure of Tb7Ho3.

a = 3.535 Å, b = 7.071 Å, c = 12.803 Å
α = 97.93°, β = 97.94°, γ = 90.00°
Element x y z (fractional)
Ho 0.200 0.600 0.400
Ho 0.800 0.400 0.600
Ho 0.000 0.000 0.000
Tb 0.400 0.700 0.800
Tb 0.600 0.800 0.200
Tb 0.000 0.500 0.000
Tb 0.600 0.300 0.200
Tb 0.400 0.200 0.800
Tb 0.800 0.900 0.600
Tb 0.200 0.100 0.400

Calculated values
- total magnetic moment (μB per formula unit) = 0.00


ii) Density functional theory data (GGA-PBE) for an optimized crystal structure of Tb7Ho3.

a = 6.274 Å, b = 10.846 Å, c = 10.846 Å
α = 120.00°, β = 90.00°, γ = 90.00°
Element x y z (fractional)
Tb 0.731 0.942 0.471
Tb 0.878 0.236 0.118
Tb 0.231 0.471 0.529
Tb 0.378 0.764 0.882
Tb 0.731 0.529 0.471
Tb 0.378 0.118 0.236
Tb 0.378 0.118 0.882
Tb 0.991 0.667 0.333
Tb 0.878 0.882 0.764
Tb 0.231 0.471 0.942
Tb 0.878 0.882 0.118
Tb 0.491 0.333 0.667
Tb 0.231 0.058 0.529
Tb 0.731 0.529 0.058
Ho 0.864 0.213 0.787
Ho 0.364 0.787 0.213
Ho 0.864 0.574 0.787
Ho 0.864 0.213 0.426
Ho 0.364 0.787 0.574
Ho 0.364 0.426 0.213

Calculated values
- total magnetic moment (μB per formula unit) = 0.01


It is ii) that is the least stable of them.


i) Density functional theory data (GGA-PBE) for an optimized crystal structure of Tb2Ho7.

a = 6.102 Å, b = 6.102 Å, c = 8.626 Å
α = 90.00°, β = 90.00°, γ = 120.00°
Element x y z (fractional)
Ho 0.667 0.667 0.666
Ho 0.000 0.333 0.666
Ho 0.333 0.000 0.666
Ho 0.000 0.000 0.000
Ho 0.000 0.667 0.334
Ho 0.667 0.000 0.334
Ho 0.333 0.333 0.334
Tb 0.333 0.667 0.000
Tb 0.667 0.333 0.000

Calculated values
- total magnetic moment (μB per formula unit) = 0.00


ii) Density functional theory data (GGA-PBE) for an optimized crystal structure of Tb2Ho7.

a = 3.535 Å, b = 9.591 Å, c = 9.591 Å
α = 120.00°, β = 90.00°, γ = 90.00°
Site moments in Bohr magnetons follow the coordinates.
Element x y z (fractional)
Tb 0.000 0.333 0.667  0.07
Tb 0.000 0.667 0.333  0.07
Ho 0.500 0.000 0.641  0.12
Ho 0.500 0.641 0.000  0.12
Ho 0.000 0.305 0.000  0.18
Ho 0.500 0.000 0.000  0.30
Ho 0.000 0.695 0.695  0.18
Ho 0.000 0.000 0.305  0.18
Ho 0.500 0.359 0.359  0.12

Calculated values
- total magnetic moment (μB per formula unit) = 1.76


It is ii) that is the least stable of them.


i) Density functional theory data (GGA-PBE) for an optimized crystal structure of TbHo.

a = 3.990 Å, b = 3.990 Å, c = 3.990 Å
α = 90.00°, β = 90.00°, γ = 90.00°
Element x y z (fractional)
Tb 0.000 0.000 0.000
Ho 0.500 0.500 0.500

Calculated values
- total magnetic moment (μB per formula unit) = 0.00


ii) Density functional theory data (GGA-PBE) for an optimized crystal structure of TbHo.

a = 3.616 Å, b = 6.261 Å, c = 5.612 Å
α = 90.00°, β = 90.00°, γ = 90.00°
Element x y z (fractional)
Ho 0.500 0.834 0.750
Ho 0.500 0.166 0.250
Tb 0.000 0.333 0.750
Tb 0.000 0.667 0.250

Calculated values
- total magnetic moment (μB per formula unit) = 0.00


It is i) that is the least stable of them.


i) Density functional theory data (GGA-PBE) for an optimized crystal structure of Tb4Ho.

a = 3.546 Å, b = 3.546 Å, c = 14.580 Å
α = 83.09°, β = 83.09°, γ = 60.01°
Element x y z (fractional)
Tb 0.800 0.800 0.600
Tb 0.600 0.600 0.199
Tb 0.200 0.200 0.400
Tb 0.400 0.400 0.801
Ho 0.000 0.000 0.000

Calculated values
- total magnetic moment (μB per formula unit) = 0.00


ii) Density functional theory data (GGA-PBE) for an optimized crystal structure of Tb4Ho.

a = 5.643 Å, b = 5.643 Å, c = 5.643 Å
α = 90.00°, β = 90.00°, γ = 90.00°
Element x y z (fractional)
Tb 0.000 0.500 0.500
Tb 0.500 0.000 0.500
Tb 0.500 0.500 0.000
Tb 0.000 0.000 0.000
Ho 0.500 0.500 0.500

Calculated values
- total magnetic moment (μB per formula unit) = 0.06


It is ii) that is the least stable of them.


i) Density functional theory data (GGA-PBE) for an optimized crystal structure of TbHo4.

a = 3.516 Å, b = 3.516 Å, c = 12.743 Å
α = 97.93°, β = 97.93°, γ = 90.00°
Element x y z (fractional)
Tb 0.000 0.000 0.000
Ho 0.200 0.200 0.400
Ho 0.400 0.400 0.799
Ho 0.600 0.600 0.201
Ho 0.800 0.800 0.600

Calculated values
- total magnetic moment (μB per formula unit) = 0.00


ii) Density functional theory data (GGA-PBE) for an optimized crystal structure of TbHo4.

a = 5.584 Å, b = 5.584 Å, c = 5.584 Å
α = 90.00°, β = 90.00°, γ = 90.00°
Element x y z (fractional)
Ho 0.500 0.000 0.500
Ho 0.500 0.500 0.000
Ho 0.000 0.500 0.500
Ho 0.000 0.000 0.000
Tb 0.500 0.500 0.500

Calculated values
- total magnetic moment (μB per formula unit) = 0.01


It is ii) that is the least stable of them.


i) Density functional theory data (GGA-PBE) for an optimized crystal structure of Tb2Ho5.

a = 3.520 Å, b = 8.639 Å, c = 7.896 Å
α = 68.53°, β = 77.09°, γ = 89.94°
Element x y z (fractional)
Ho 0.143 0.429 0.715
Ho 0.000 0.000 0.000
Ho 0.571 0.714 0.858
Ho 0.857 0.571 0.285
Ho 0.429 0.286 0.142
Tb 0.286 0.857 0.428
Tb 0.714 0.143 0.572

Calculated values
- total magnetic moment (μB per formula unit) = 0.00


ii) Density functional theory data (GGA-PBE) for an optimized crystal structure of Tb2Ho5.

a = 6.239 Å, b = 9.135 Å, c = 8.389 Å
α = 95.64°, β = 111.83°, γ = 90.00°
Element x y z (fractional)
Tb 0.405 0.107 0.143
Tb 0.595 0.893 0.857
Tb 0.739 0.607 0.143
Tb 0.261 0.393 0.857
Ho 0.119 0.678 0.571
Ho 0.834 0.250 0.000
Ho 0.309 0.464 0.287
Ho 0.691 0.536 0.713
Ho 0.977 0.964 0.287
Ho 0.548 0.822 0.429
Ho 0.023 0.036 0.713
Ho 0.452 0.178 0.571
Ho 0.881 0.322 0.429
Ho 0.166 0.750 0.000

Calculated values
- total magnetic moment (μB per formula unit) = 0.00


It is i) that is the least stable of them.


i) Density functional theory data (GGA-PBE) for an optimized crystal structure of TbHo2Tc.

a = 6.243 Å, b = 7.438 Å, c = 9.126 Å
α = 90.00°, β = 90.00°, γ = 90.00°
Element x y z (fractional)
Ho 0.342 0.176 0.436
Ho 0.842 0.324 0.936
Ho 0.158 0.676 0.064
Ho 0.158 0.676 0.436
Ho 0.658 0.824 0.564
Ho 0.342 0.176 0.064
Ho 0.842 0.324 0.564
Ho 0.658 0.824 0.936
Tb 0.373 0.458 0.750
Tb 0.127 0.958 0.750
Tb 0.627 0.542 0.250
Tb 0.873 0.042 0.250
Tc 0.957 0.615 0.750
Tc 0.543 0.115 0.750
Tc 0.043 0.385 0.250
Tc 0.457 0.885 0.250

Calculated values
- total magnetic moment (μB per formula unit) = 0.00


ii) Density functional theory data (GGA-PBE) for an optimized crystal structure of TbHo2Tc.

a = 3.404 Å, b = 3.404 Å, c = 11.111 Å
α = 81.19°, β = 81.19°, γ = 60.00°
Element x y z (fractional)
Tb 0.000 0.000 0.000
Ho 0.105 0.105 0.685
Ho 0.895 0.895 0.315
Tc 0.500 0.500 0.500

Calculated values
- total magnetic moment (μB per formula unit) = 0.00


It is ii) that is the least stable of them.